Density functional theory data (PBE+U) for Cr4InF12 after structural relaxation.

a b c (Å): 6.899 6.899 6.899
angles (deg): 109.75 109.74 108.92
Fractional positions:
Cr 0.000 0.000 0.500
Cr 0.000 0.500 0.000
Cr 0.500 0.000 0.000
Cr 0.500 0.500 0.500
In 0.000 0.000 0.000
F 0.021 0.759 0.262
F 0.241 0.258 0.499
F 0.241 0.742 0.983
F 0.260 0.022 0.762
F 0.260 0.498 0.238
F 0.498 0.759 0.738
F 0.502 0.241 0.262
F 0.740 0.502 0.762
F 0.740 0.978 0.238
F 0.759 0.258 0.017
F 0.759 0.742 0.501
F 0.979 0.241 0.738

Values from the calculation:
V, Å³/f.u.: 252.7
Space group: No. 71
Total moment, μB per formula unit: 13.0
Energy, eV per atom: -5.784